Entry 1:
First-principles (GGA-PBE) data for a relaxed Sc2Ga8Co crystal, as listed in the Alexandria database.

Values from the calculation:
The calculation puts the total energy at -4.46 eV per atom. Its formation energy is -464 meV/atom. The density of states at the Fermi level is 0.4944 states/eV/atom.

Cell: 4.1323 4.1323 10.7516 Å, 90.00 90.00 90.00°
With the nearest neighbours (Å) after each atom.
Space group P4/mmm (No. 123)
Symmetry-distinct sites (fractional):
Sc  0.0000  0.0000  0.1916 (multiplicity 2)  12 Ga 2.88-2.92
Ga  0.0000  0.5000  0.0000 (multiplicity 2)  4 Sc 2.92, 8 Ga 2.92
Ga  0.0000  0.5000  0.3788 (multiplicity 4)  2 Co 2.44, 1 Ga 2.61
Ga  0.5000  0.5000  0.1925 (multiplicity 2)  8 Ga 2.88-2.92, 4 Sc 2.92
Co  0.0000  0.0000  0.5000 (multiplicity 1)  8 Ga 2.44

---

Entry 2:
First-principles (GGA-PBE) data for a relaxed Hf2ScTlO crystal, as listed in the Alexandria database.

Values from the calculation:
The calculation puts the total energy at -7.71 eV per atom. The density of states at the Fermi level is 0.8610 states/eV/atom. The value obtained for the formation energy (no corrections) is -0.99 eV/atom.

Cell: 4.3825 4.3825 4.7237 Å, 90.00 90.00 90.00°
With the nearest neighbours (Å) after each atom.
Space group P4/mmm (No. 123)
Symmetry-distinct sites (fractional):
Hf  0.0000  0.5000  0.0000 (multiplicity 2)  2 O 2.19
Sc  0.0000  0.0000  0.5000 (multiplicity 1)  2 O 2.36
Tl  0.5000  0.5000  0.5000 (multiplicity 1)  4 Sc 3.10, 8 Hf 3.22
O  0.0000  0.0000  0.0000 (multiplicity 1)  4 Hf 2.19, 2 Sc 2.36

---

Entry 3:
First-principles (GGA-PBE) data for a relaxed MgSc2Cu crystal, as listed in the Alexandria database.

Values from the calculation:
The calculation puts the total energy at -4.53 eV per atom. Its formation energy is 57 meV/atom. The density of states at the Fermi level is 1.2509 states/eV/atom.

Cell: 4.2107 4.2107 9.0463 Å, 90.00 90.00 90.00°
With the nearest neighbours (Å) after each atom.
Space group I-4m2 (No. 119)
Symmetry-distinct sites (fractional):
Mg  0.0000  0.0000  0.0000 (multiplicity 2)  8 Sc 2.98-3.09, 4 Cu 3.09
Sc  0.0000  0.0000  0.5000 (multiplicity 2)  4 Mg 2.98, 4 Cu 3.09, 4 Sc 3.09
Sc  0.0000  0.5000  0.7500 (multiplicity 2)  4 Cu 2.98, 4 Sc 3.09, 4 Mg 3.09
Cu  0.0000  0.5000  0.2500 (multiplicity 2)  8 Sc 2.98-3.09, 4 Mg 3.09

---

Entry 4:
First-principles (GGA-PBE) data for a relaxed NbGeMo2Pb crystal, as listed in the Alexandria database.

Values from the calculation:
The calculation puts the total energy at -6.95 eV per atom. Its formation energy is 1064 meV/atom. The density of states at the Fermi level is 1.3643 states/eV/atom.

Cell: 4.6861 4.6861 4.7913 Å, 90.00 90.00 90.00°
With the nearest neighbours (Å) after each atom.
Space group P4/mmm (No. 123)
Symmetry-distinct sites (fractional):
Nb  0.0000  0.0000  0.0000 (multiplicity 1)  2 Ge 2.40
Ge  0.0000  0.0000  0.5000 (multiplicity 1)  4 Mo 2.34, 2 Nb 2.40
Mo  0.0000  0.5000  0.5000 (multiplicity 2)  2 Ge 2.34
Pb  0.5000  0.5000  0.0000 (multiplicity 1)  4 Nb 3.31, 8 Mo 3.35

---

Entry 5:
First-principles (GGA-PBE) data for a relaxed K2Sn2AsSe2 crystal, as listed in the Alexandria database.

Values from the calculation:
The calculation puts the total energy at -3.63 eV per atom. The density of states at the Fermi level is 0.1173 states/eV/atom. The value obtained for the formation energy (no corrections) is -0.51 eV/atom.

Cell: 15.0392 5.2349 7.2150 Å, 90.00 110.83 90.00°
With the nearest neighbours (Å) after each atom.
Space group C2/m (No. 12)
Symmetry-distinct sites (fractional):
K  0.1185  0.0000  0.2770 (multiplicity 4)  1 Se 3.34, 2 As 3.39
Sn  0.1456  0.5000  0.8760 (multiplicity 4)  1 As 2.64, 3 Se 2.78-2.91
As  0.0000  0.5000  0.0000 (multiplicity 2)  2 Sn 2.64
Se  0.1978  0.0000  0.7724 (multiplicity 4)  3 Sn 2.78-2.91

---

Entry 6:
First-principles (GGA-PBE) data for a relaxed ErGe2Pb crystal, as listed in the Alexandria database.

Values from the calculation:
The calculation puts the total energy at -4.65 eV per atom. Its formation energy is -277 meV/atom. The density of states at the Fermi level is 0.4333 states/eV/atom.

Cell: 4.6836 4.6836 4.1903 Å, 90.00 90.00 90.00°
With the nearest neighbours (Å) after each atom.
Space group P4/mmm (No. 123)
Symmetry-distinct sites (fractional):
Er  0.0000  0.0000  0.0000 (multiplicity 1)  8 Ge 3.14, 4 Pb 3.31
Ge  0.0000  0.5000  0.5000 (multiplicity 2)  4 Pb 3.14, 4 Er 3.14, 4 Ge 3.31
Pb  0.5000  0.5000  0.0000 (multiplicity 1)  8 Ge 3.14, 4 Er 3.31

---

Entry 7:
First-principles (GGA-PBE) data for a relaxed Li9Mg2Hg3 crystal, as listed in the Alexandria database.

Values from the calculation:
The calculation puts the total energy at -1.65 eV per atom. Its formation energy is -126 meV/atom. The density of states at the Fermi level is 0.2856 states/eV/atom.

Cell: 4.5859 7.6165 14.7732 Å, 90.00 90.00 90.00°
With the nearest neighbours (Å) after each atom.
Space group Immm (No. 71)
Symmetry-distinct sites (fractional):
Li  0.0000  0.0000  0.0000 (multiplicity 2)  4 Li 2.68, 4 Mg 3.00
Li  0.0000  0.1535  0.2955 (multiplicity 8)  2 Li 2.34-2.54
Li  0.0000  0.2461  0.1299 (multiplicity 8)  4 Li 2.54-2.68, 1 Hg 2.73
Mg  0.0000  0.2468  0.5000 (multiplicity 4)  4 Hg 2.96-3.16, 8 Li 2.99-3.10
Hg  0.0000  0.5000  0.0000 (multiplicity 2)  4 Li 2.73, 4 Mg 2.96
Hg  0.0000  0.5000  0.3307 (multiplicity 4)  2 Li 2.69

---

Entry 8:
First-principles (GGA-PBE) data for a relaxed SrNi2OsPd crystal, as listed in the Alexandria database.

Values from the calculation:
The calculation puts the total energy at -4.87 eV per atom. Its formation energy is 1067 meV/atom. The density of states at the Fermi level is 0.9586 states/eV/atom. The value obtained for the energy above the lowest structure with this stoichiometry is 0.000 eV per atom.

Cell: 4.5215 4.5215 5.6665 Å, 90.00 90.00 90.00°
With the nearest neighbours (Å) after each atom.
Space group P4/mmm (No. 123)
Symmetry-distinct sites (fractional):
Sr  0.0000  0.0000  0.0000 (multiplicity 1)  2 Os 2.83
Ni  0.0000  0.5000  0.5000 (multiplicity 2)  2 Os 2.26
Os  0.0000  0.0000  0.5000 (multiplicity 1)  4 Ni 2.26
Pd  0.5000  0.5000  0.0000 (multiplicity 1)  4 Sr 3.20

---

Entry 9:
First-principles (GGA-PBE) data for a relaxed Ho4AgRu crystal, as listed in the Alexandria database.

Values from the calculation:
The calculation puts the total energy at -5.23 eV per atom. Its formation energy is -153 meV/atom. The density of states at the Fermi level is 1.0438 states/eV/atom. The value obtained for the energy above the lowest structure with this stoichiometry is 0.165 eV per atom.

Cell: 6.8521 6.8522 7.0100 Å, 90.00 90.07 90.00°
With the nearest neighbours (Å) after each atom.
Space group C2/m (No. 12)
Symmetry-distinct sites (fractional):
Ho  0.2496  0.2499  0.2334 (multiplicity 8)  2 Ru 2.92-2.93, 2 Ag 3.06
Ag  0.0000  0.0000  0.5000 (multiplicity 2)  8 Ho 3.06
Ru  0.0000  0.5000  0.0000 (multiplicity 2)  8 Ho 2.92-2.93

---

Entry 10:
First-principles (GGA-PBE) data for a relaxed Eu2DyCd crystal, as listed in the Alexandria database.

Values from the calculation:
The calculation puts the total energy at -6.55 eV per atom. Its formation energy is -34 meV/atom. The density of states at the Fermi level is 1.1770 states/eV/atom. The value obtained for the energy above the lowest structure with this stoichiometry is 0.052 eV per atom.

Cell: 5.0223 5.0223 5.0766 Å, 90.00 90.00 90.00°
With the nearest neighbours (Å) after each atom.
Space group P4/mmm (No. 123)
Symmetry-distinct sites (fractional):
Eu  0.0000  0.5000  0.0000 (multiplicity 2)  4 Eu 3.55, 4 Cd 3.57, 4 Dy 3.57
Dy  0.0000  0.0000  0.5000 (multiplicity 1)  4 Cd 3.55, 8 Eu 3.57
Cd  0.5000  0.5000  0.5000 (multiplicity 1)  4 Dy 3.55, 8 Eu 3.57

---

Entry 11:
First-principles (GGA-PBE) data for a relaxed Zr5Os3 crystal, as listed in the Alexandria database.

Values from the calculation:
The calculation puts the total energy at -9.68 eV per atom. Its formation energy is -124 meV/atom. The density of states at the Fermi level is 0.6686 states/eV/atom. The value obtained for the energy above the lowest structure with this stoichiometry is 0.221 eV per atom.

Cell: 7.6535 7.6535 3.0628 Å, 90.00 90.00 120.00°
With the nearest neighbours (Å) after each atom.
Space group P-62m (No. 189)
Symmetry-distinct sites (fractional):
Zr  0.0000  0.7672  0.0000 (multiplicity 3)  4 Os 2.84, 6 Zr 3.01-3.09
Zr  0.3333  0.6667  0.0000 (multiplicity 2)  6 Os 2.91, 5 Zr 3.01-3.06
Os  0.0000  0.3544  0.5000 (multiplicity 3)  8 Zr 2.84-2.91, 2 Os 3.06

---

Entry 12:
First-principles (GGA-PBE) data for a relaxed Ba9Rh8O24 crystal, as listed in the Alexandria database.

Values from the calculation:
The calculation puts the total energy at -6.46 eV per atom. The density of states at the Fermi level is 0.5747 states/eV/atom. The value obtained for the formation energy (no corrections) is -1.70 eV/atom.

Cell: 10.2346 10.2346 42.5701 Å, 90.00 90.00 120.00°
With the nearest neighbours (Å) after each atom.
Space group R-3c (No. 167, hexagonal axes)
Symmetry-distinct sites (fractional):
Ba  0.0000  0.3517  0.2500 (multiplicity 18)  8 O 2.66-2.90
Ba  0.0045  0.3446  0.6945 (multiplicity 36)  7 O 2.68-2.99
Rh  0.0000  0.0000  0.0000 (multiplicity 6)  6 O 2.06
Rh  0.0000  0.0000  0.0599 (multiplicity 12)  6 O 2.05-2.07
Rh  0.0000  0.0000  0.1210 (multiplicity 12)  6 O 2.04-2.08
Rh  0.0000  0.0000  0.1842 (multiplicity 12)  6 O 2.03-2.07
Rh  0.0000  0.0000  0.2500 (multiplicity 6)  6 O 2.06
O  0.0026  0.1601  0.9701 (multiplicity 36)  2 Rh 2.06-2.07
O  0.0079  0.1607  0.4101 (multiplicity 36)  2 Rh 2.05-2.08
O  0.0202  0.1607  0.6519 (multiplicity 36)  2 Rh 2.04-2.07
O  0.0554  0.1650  0.2834 (multiplicity 36)  2 Rh 2.03-2.06

---

no.,total moment (μB/f.u.)
1,0.000
2,0.000
3,0.000
4,0.000
5,0.000
6,0.000
7,0.000
8,0.000
9,0.000
10,15.122
11,0.000
12,3.563